A geometry-optimized Li4InSnIr2 structure. Source: the Open Quantum Materials Database, functional GGA-PBE.

Energy ... -4.362 eV/atom

Cell: 4.4344 4.4344 6.2565 Å, 90.00 90.00 90.00°
Last column: nearest neighbours and their distance in Å.
Space group P-4m2 (No. 115)
Inequivalent atoms, fractional coordinates:
Li 0.0000 0.0000 0.0000 (multiplicity 1)  4 Ir 2.69, 4 Li 2.72
Li 0.0000 0.5000 0.7489 (multiplicity 2)  2 In 2.71, 4 Li 2.71-2.72, 2 Sn 2.72
Li 0.5000 0.5000 0.5000 (multiplicity 1)  4 Li 2.71, 4 Ir 2.74
In 0.0000 0.0000 0.5000 (multiplicity 1)  4 Li 2.71, 4 Ir 2.74
Sn 0.5000 0.5000 0.0000 (multiplicity 1)  4 Ir 2.69, 4 Li 2.72
Ir 0.0000 0.5000 0.2426 (multiplicity 2)  2 Sn 2.69, 4 Li 2.69-2.74, 2 In 2.74